Cs2VSeF6 | GGA+U | relaxed

The value obtained for the density of states at the Fermi level is 17.53 states/eV/cell. For the electronic total energy, the calculation gives -47.32 eV per formula unit.

Cell lengths 6.5266, 6.5266, 6.5266 Å; angles 113.47, 113.47, 101.73 degrees
Element x y z (fractional)
Cs (0.2500, 0.7500, 0.5000)
Cs (0.7500, 0.2500, 0.5000)
V (0.0000, 0.0000, 0.0000)
Se (0.5000, 0.5000, 0.0000)
F (0.1911, 0.1911, 0.3823)
F (0.1911, 0.8089, 0.0000)
F (0.2557, 0.2557, 0.0000)
F (0.7443, 0.7443, 0.0000)
F (0.8089, 0.1911, 0.0000)
F (0.8089, 0.8089, 0.6177)